Entry 1:
! PaAlW, relaxed, DFT PBE; values from VASP
&SYSTEM
  ibrav = 0, nat = 3, ntyp = 3
/
ATOMIC_SPECIES
Pa 231.04 Pa.upf
Al 26.98 Al.upf
W 183.84 W.upf
CELL_PARAMETERS angstrom
3.5189 0.0000 0.0000
0.0000 2.2716 3.8327
0.0000 -2.2716 3.8327
ATOMIC_POSITIONS crystal
Pa 0.0000 0.0000 0.0000
Al 0.5000 0.6632 0.6632
W 0.5000 0.3255 0.3255
! - polymorph energy (0 for the lowest one) (meV/atom) = 350.2
! - DFT formation energy (eV/atom) = 0.2500
! - space-group type = Amm2 (38)

***

Entry 2:
! Ca2PmDyS4, relaxed, DFT PBE; values from VASP
&SYSTEM
  ibrav = 0, nat = 8, ntyp = 4
/
ATOMIC_SPECIES
Ca 40.08 Ca.upf
Pm 145.00 Pm.upf
Dy 162.50 Dy.upf
S 32.06 S.upf
CELL_PARAMETERS angstrom
6.8789 0.0000 0.0000
0.0000 3.9710 0.0000
-2.2912 0.0000 6.6064
ATOMIC_POSITIONS crystal
Ca 0.0000 0.0000 0.0000
Ca 0.5000 0.5000 0.0000
Pm 0.0000 0.5000 0.5000
Dy 0.5000 0.0000 0.5000
S 0.2564 0.0000 0.7515
S 0.2563 0.5000 0.2528
S 0.7436 0.0000 0.2485
S 0.7437 0.5000 0.7472
! - uncorrected formation energy (meV/atom) = -2056
! - space-group type = P2/m (10)

***

Entry 3:
! ErAgPbSe3, relaxed, DFT PBE; values from VASP
&SYSTEM
  ibrav = 0, nat = 12, ntyp = 4
/
ATOMIC_SPECIES
Er 167.26 Er.upf
Ag 107.87 Ag.upf
Pb 207.20 Pb.upf
Se 78.96 Se.upf
CELL_PARAMETERS angstrom
8.4246 0.0000 0.0000
0.0000 4.1382 0.0000
-2.2461 0.0000 9.0063
ATOMIC_POSITIONS crystal
Er 0.1758 0.2500 0.1668
Er 0.8242 0.7500 0.8332
Ag 0.4100 0.7500 0.4125
Ag 0.5900 0.2500 0.5875
Pb 0.3027 0.7500 0.7564
Pb 0.6973 0.2500 0.2436
Se 0.0641 0.2500 0.8475
Se 0.2363 0.2500 0.4848
Se 0.3975 0.7500 0.1244
Se 0.6025 0.2500 0.8756
Se 0.7637 0.7500 0.5152
Se 0.9359 0.7500 0.1525
! - uncorrected formation energy (meV/atom) = -968
! - space-group type = P2_1/m (11)

***

Number 1: M_tot 0.00 μB per cell. Number 2: M_tot 0.00 μB per cell. Number 3: M_tot 0.00 μB per cell.